# 1
# LaCrCl2

An optimized crystal structure of LaCrCl2 (PBEsol, Alexandria).

```
data_LaCrCl2
_space_group_name_H-M_alt 'I -4 m 2'
_space_group_IT_number 119
_space_group_name_Hall 'I -4 -2'
_cell_length_a 4.0034
_cell_length_b 4.0034
_cell_length_c 10.8255
_cell_angle_alpha 90.00
_cell_angle_beta 90.00
_cell_angle_gamma 90.00
loop_
_atom_site_label
_atom_site_fract_x
_atom_site_fract_y
_atom_site_fract_z
_atom_site_occupancy
La1 0.0000 0.0000 0.0000 1
Cr1 0.0000 0.5000 0.7500 1
Cl1 0.0000 0.0000 0.5000 1
Cl2 0.0000 0.5000 0.2500 1
```


# 2
# Sb2TePd2

An optimized crystal structure of Sb2TePd2 (PBEsol, Alexandria).

```
data_Sb2TePd2
_space_group_name_H-M_alt 'P 4/m b m'
_space_group_IT_number 127
_space_group_name_Hall '-P 4 2ab'
_cell_length_a 8.2485
_cell_length_b 8.2485
_cell_length_c 3.1292
_cell_angle_alpha 90.00
_cell_angle_beta 90.00
_cell_angle_gamma 90.00
loop_
_atom_site_label
_atom_site_fract_x
_atom_site_fract_y
_atom_site_fract_z
_atom_site_occupancy
Sb1 0.1663 0.3337 0.0000 1
Te1 0.0000 0.0000 0.0000 1
Pd1 0.1186 0.6186 0.5000 1
```


Number 1: formation energy from raw total energies -0.661 eV/atom. Number 2: formation energy from raw total energies -0.088 eV/atom.